This record from Alexandria describes CsUVO6 after structural relaxation. The functional is PBE with a Hubbard U.

```
CsUVO6
1.0
7.637 0.000 0.000
0.000 8.498 0.000
-2.778 0.000 10.269
Cs U V O
4 4 4 24
Cartesian
-0.769 1.991 3.748
-2.158 2.258 8.883
7.017 6.240 1.386
5.628 6.507 6.521
3.239 0.167 1.844
1.850 4.082 6.978
3.009 4.416 3.291
1.620 8.331 8.425
0.418 5.498 9.685
1.807 7.249 4.551
3.052 1.249 5.718
4.441 3.000 0.584
-1.217 5.360 9.535
0.172 7.386 4.401
1.526 0.525 1.281
0.137 3.723 6.415
-0.085 0.196 7.853
1.304 4.053 2.719
1.093 6.036 8.048
2.482 6.710 2.913
2.163 5.565 5.184
3.552 7.181 0.050
2.502 0.502 4.035
1.113 3.747 9.170
3.746 4.751 1.099
2.357 7.995 6.234
1.307 1.316 10.219
2.696 2.932 5.085
2.377 1.787 7.356
3.766 2.462 2.221
3.555 4.445 7.550
4.944 8.302 2.416
4.722 4.774 3.854
3.333 7.972 8.988
4.687 1.111 5.868
6.076 3.138 0.734
```

Properties
energy = -8.03 eV/atom
relative energy among the computed polymorphs = 0 meV/atom
calculated density = 5.162 Mg/m³
SG = P2_1/c, No. 14